1.
# Li4SmTl

Crystalline Li4SmTl at its relaxed geometry (GGA-PBE, the Alexandria database).

Output
Its space group is F-43m. For the formation energy, the calculation gives -0.108 eV/atom. The size of the total moment comes out at 0.0 μB per formula unit. The value obtained for the calculated density is 5.2 g/cm³. The crystal system is cubic.

Cell: 5.5694 5.5694 5.5694 Å, 60.00 60.00 60.00°
Positions (direct):
Tl 0.0000 0.0000 0.0000
Sm 0.2500 0.2500 0.2500
Li 0.6260 0.6260 0.1220
Li 0.6260 0.1220 0.6260
Li 0.6260 0.6260 0.6260
Li 0.1220 0.6260 0.6260


2.
# Ce12HoTh3

Crystalline Ce12HoTh3 at its relaxed geometry (GGA-PBE, the Alexandria database).

Output
Its space group is P4/mmm. For the formation energy, the calculation gives 0.033 eV/atom. The size of the total moment comes out at 0.0 μB per formula unit. The value obtained for the calculated density is 9.5 g/cm³. The crystal system is tetragonal.

Cell: 4.8044 4.8044 19.3493 Å, 90.00 90.00 90.00°
Positions (direct):
Ce 0.5000 0.5000 0.0000
Ce 0.5000 0.5000 0.2516
Ce 0.5000 0.5000 0.5000
Ce 0.5000 0.5000 0.7484
Ce 0.5000 0.0000 0.1262
Ce 0.5000 0.0000 0.3753
Ce 0.5000 0.0000 0.6247
Ce 0.5000 0.0000 0.8738
Ce 0.0000 0.5000 0.1262
Ce 0.0000 0.5000 0.3753
Ce 0.0000 0.5000 0.6247
Ce 0.0000 0.5000 0.8738
Ho 0.0000 0.0000 0.0000
Th 0.0000 0.0000 0.2499
Th 0.0000 0.0000 0.5000
Th 0.0000 0.0000 0.7501